# 1
Compound: MnTlZn2
Source: Alexandria
Functional: PBEsol
Structure: optimized geometry

a b c (Å): 3.014 3.014 9.127
angles (deg): 80.50 80.50 60.00
Site moments in Bohr magnetons follow the coordinates.
Fractional positions:
Mn: 0.500 0.500 0.500  3.31
Tl: 0.000 0.000 0.000  -0.01
Zn: 0.238 0.238 0.286  -0.04
Zn: 0.762 0.762 0.714  -0.04

Values from the calculation:
As for the total energy: -0.12977 Ha/atom.



# 2
Compound: Y2Au
Source: Alexandria
Functional: PBEsol
Structure: optimized geometry

a b c (Å): 9.479 9.479 9.479
angles (deg): 60.00 60.00 60.00
Fractional positions:
Au: 0.290 0.903 0.903
Au: 0.903 0.903 0.903
Au: 0.903 0.290 0.903
Au: 0.903 0.903 0.290
Au: 0.960 0.347 0.347
Au: 0.347 0.347 0.347
Au: 0.347 0.960 0.347
Au: 0.347 0.347 0.960
Y: 0.125 0.125 0.625
Y: 0.125 0.625 0.125
Y: 0.125 0.125 0.125
Y: 0.625 0.125 0.125
Y: 0.313 0.687 0.687
Y: 0.313 0.313 0.687
Y: 0.313 0.687 0.313
Y: 0.687 0.313 0.687
Y: 0.687 0.687 0.313
Y: 0.687 0.313 0.313
Y: 0.937 0.563 0.563
Y: 0.937 0.937 0.563
Y: 0.937 0.563 0.937
Y: 0.563 0.937 0.563
Y: 0.563 0.563 0.937
Y: 0.563 0.937 0.937

Values from the calculation:
As for the total energy: -0.23803 Ha/atom.



# 3
Compound: In2CuP2
Source: Alexandria
Functional: PBEsol
Structure: optimized geometry

a b c (Å): 5.081 5.081 5.081
angles (deg): 95.38 116.95 116.95
Fractional positions:
P: 0.000 0.668 0.668
P: 0.000 0.332 0.332
Cu: 0.000 0.000 0.000
In: 0.500 0.750 0.250
In: 0.500 0.250 0.750

Values from the calculation:
As for the total energy: -0.15337 Ha/atom.



# 4
Compound: RbHfRh2
Source: Alexandria
Functional: PBEsol
Structure: optimized geometry

a b c (Å): 4.730 4.730 4.730
angles (deg): 60.00 60.00 60.00
Fractional positions:
Rh: 0.250 0.250 0.250
Rh: 0.750 0.750 0.750
Hf: 0.500 0.500 0.500
Rb: 0.000 0.000 0.000

Values from the calculation:
As for the total energy: -0.23776 Ha/atom.



# 5
Compound: In3Te
Source: Alexandria
Functional: PBEsol
Structure: optimized geometry

a b c (Å): 4.637 4.637 10.752
angles (deg): 102.45 102.45 90.00
Fractional positions:
In: 0.000 0.500 0.000
In: 0.500 0.000 0.000
In: 0.750 0.250 0.500
In: 0.250 0.750 0.500
In: 0.872 0.872 0.744
In: 0.128 0.128 0.256
Te: 0.621 0.621 0.243
Te: 0.379 0.379 0.757

Values from the calculation:
The uncorrected formation energy comes out at -0.08 eV per atom.



# 6
Compound: MgCoCu2
Source: Alexandria
Functional: PBEsol
Structure: optimized geometry

a b c (Å): 3.665 3.665 4.470
angles (deg): 114.21 114.21 90.00
Site moments in Bohr magnetons follow the coordinates.
Fractional positions:
Co: 0.250 0.750 0.500  0.89
Cu: 0.000 0.000 0.000  0.01
Cu: 0.750 0.250 0.500  -0.01
Mg: 0.500 0.500 0.000  -0.01

Values from the calculation:
As for the total energy: -0.16160 Ha/atom.